Here is crystalline Li2CuTc at its relaxed geometry from the Alexandria database. Energies are from PBE.

Computed properties:
Raw total energy ... -4.329 eV per atom
Total magnetic moment ... 1.07 μB per cell
E above lowest polymorph ... 12.21 kJ/mol of atoms
Formation energy ... 0.244 eV/atom

```
data_Li2CuTc
_chemical_formula_sum 'Li4 Cu2 Tc2'
_space_group_name_H-M_alt 'P 1'
_space_group_IT_number 1
_cell_length_a 9.0744
_cell_length_b 2.4893
_cell_length_c 4.9144
_cell_angle_alpha 90.00
_cell_angle_beta 97.09
_cell_angle_gamma 90.00
loop_
_space_group_symop_operation_xyz
'x,y,z'
loop_
_atom_site_label
_atom_site_fract_x
_atom_site_fract_y
_atom_site_fract_z
Li1 0.0000 0.0000 0.0000
Li2 0.2407 0.0000 0.7899
Li3 0.5000 0.5000 0.0000
Li4 0.7407 0.5000 0.7899
Cu1 0.2378 0.5000 0.3021
Cu2 0.7378 0.0000 0.3021
Tc1 0.4830 0.0000 0.4844
Tc2 0.9830 0.5000 0.4844
```

Here is crystalline TaReNi2H at its relaxed geometry from the Alexandria database. Energies are from PBE.

Computed properties:
Raw total energy ... -7.895 eV per atom
Total magnetic moment ... 0.00 μB per cell
E above lowest polymorph ... 5.34 kJ/mol of atoms

```
data_TaReNi2H
_chemical_formula_sum 'Ta1 Re1 Ni2 H1'
_space_group_name_H-M_alt 'P 1'
_space_group_IT_number 1
_cell_length_a 3.7208
_cell_length_b 3.7208
_cell_length_c 4.0942
_cell_angle_alpha 90.00
_cell_angle_beta 90.00
_cell_angle_gamma 90.00
loop_
_space_group_symop_operation_xyz
'x,y,z'
loop_
_atom_site_label
_atom_site_fract_x
_atom_site_fract_y
_atom_site_fract_z
Ta1 0.0000 0.0000 0.0000
Re1 0.5000 0.5000 0.0000
Ni1 0.0000 0.5000 0.5000
Ni2 0.5000 0.0000 0.5000
H1 0.0000 0.0000 0.5000
```

Here is crystalline Ca2YInS at its relaxed geometry from the Alexandria database. Energies are from PBE.

Computed properties:
Raw total energy ... -4.372 eV per atom
Total magnetic moment ... 0.00 μB per cell

```
data_Ca2YInS
_chemical_formula_sum 'Ca2 Y1 In1 S1'
_space_group_name_H-M_alt 'P 1'
_space_group_IT_number 1
_cell_length_a 5.2644
_cell_length_b 5.2644
_cell_length_c 5.3090
_cell_angle_alpha 90.00
_cell_angle_beta 90.00
_cell_angle_gamma 90.00
loop_
_space_group_symop_operation_xyz
'x,y,z'
loop_
_atom_site_label
_atom_site_fract_x
_atom_site_fract_y
_atom_site_fract_z
Ca1 0.0000 0.5000 0.0000
Ca2 0.5000 0.0000 0.0000
Y1 0.0000 0.0000 0.5000
In1 0.5000 0.5000 0.5000
S1 0.0000 0.0000 0.0000
```

Here is crystalline FeTcOs at its relaxed geometry from the Alexandria database. Energies are from PBE.

Computed properties:
Raw total energy ... -9.935 eV per atom
Total magnetic moment ... 4.03 μB per cell
E above lowest polymorph ... 9.11 kJ/mol of atoms
Formation energy ... 0.085 eV/atom

```
data_FeTcOs
_chemical_formula_sum 'Fe2 Tc2 Os2'
_space_group_name_H-M_alt 'P 1'
_space_group_IT_number 1
_cell_length_a 2.6939
_cell_length_b 3.7919
_cell_length_c 7.9523
_cell_angle_alpha 90.00
_cell_angle_beta 90.00
_cell_angle_gamma 90.00
loop_
_space_group_symop_operation_xyz
'x,y,z'
loop_
_atom_site_label
_atom_site_fract_x
_atom_site_fract_y
_atom_site_fract_z
Fe1 0.0000 0.0000 0.0000
Fe2 0.5000 0.5000 0.5000
Tc1 0.0000 0.0000 0.3329
Tc2 0.5000 0.5000 0.8329
Os1 0.0000 0.0000 0.6637
Os2 0.5000 0.5000 0.1637
```